# Hf2CrF11 (PBE with a Hubbard U, optimized geometry)
data_Hf2CrF11
_chemical_formula_sum 'Hf4 Cr2 F22'
_symmetry_space_group_name_H-M 'P 1'
_symmetry_Int_Tables_number 1
_cell_length_a 8.070
_cell_length_b 8.070
_cell_length_c 8.070
_cell_angle_alpha 122.01
_cell_angle_beta 105.72
_cell_angle_gamma 101.48
loop_
_symmetry_equiv_pos_as_xyz
'x,y,z'
loop_
_atom_site_label
_atom_site_type_symbol
_atom_site_fract_x
_atom_site_fract_y
_atom_site_fract_z
_atom_site_occupancy
Hf1 Hf 0.189 0.120 0.309 1
Hf2 Hf 0.311 0.620 0.931 1
Hf3 Hf 0.689 0.380 0.069 1
Hf4 Hf 0.811 0.880 0.691 1
Cr1 Cr 0.250 0.750 0.500 1
Cr2 Cr 0.750 0.250 0.500 1
F1 F 0.000 0.000 0.000 1
F2 F 0.008 0.443 0.716 1
F3 F 0.049 0.925 0.670 1
F4 F 0.215 0.857 0.072 1
F5 F 0.227 0.943 0.435 1
F6 F 0.245 0.575 0.124 1
F7 F 0.255 0.379 0.330 1
F8 F 0.273 0.708 0.716 1
F9 F 0.285 0.357 0.642 1
F10 F 0.451 0.121 0.876 1
F11 F 0.492 0.208 0.435 1
F12 F 0.500 0.500 0.000 1
F13 F 0.508 0.792 0.565 1
F14 F 0.549 0.879 0.124 1
F15 F 0.715 0.643 0.358 1
F16 F 0.727 0.292 0.284 1
F17 F 0.745 0.621 0.670 1
F18 F 0.755 0.425 0.876 1
F19 F 0.773 0.057 0.565 1
F20 F 0.785 0.143 0.928 1
F21 F 0.951 0.075 0.330 1
F22 F 0.992 0.557 0.284 1
# DOS at the Fermi energy: 0.0 states/eV per cell
# DFT total energy: -190.1 eV/cell
# total magnetic moment: 5.99 Bohr magnetons per cell